Density functional theory data (GGA-PBE) for an optimized crystal structure of CaZn3Cd3.

abc: 4.533 6.867 10.045
angles: 111.58 90.00 90.00
Atoms (fractional coordinates):
Zn 0.250 0.167 0.465
Zn 0.250 0.009 0.661
Ca 0.250 0.660 0.282
Zn 0.750 0.833 0.535
Zn 0.250 0.687 0.897
Cd 0.250 0.080 0.167
Cd 0.750 0.717 0.058
Cd 0.750 0.407 0.394
Zn 0.750 0.991 0.339
Cd 0.750 0.920 0.833
Cd 0.250 0.283 0.942
Cd 0.250 0.593 0.606
Ca 0.750 0.340 0.718
Zn 0.750 0.313 0.103

**SG**: P2_1/m (11)

=====

Density functional theory data (GGA-PBE) for an optimized crystal structure of CaZn10Cd.

abc: 4.317 5.271 9.250
angles: 90.00 90.00 90.00
Atoms (fractional coordinates):
Ca 0.000 0.500 0.500
Zn 0.500 0.744 0.743
Zn 0.000 0.500 0.159
Zn 0.500 0.744 0.257
Cd 0.000 0.000 0.000
Zn 0.000 0.000 0.317
Zn 0.500 0.500 0.000
Zn 0.500 0.256 0.257
Zn 0.500 0.000 0.500
Zn 0.500 0.256 0.743
Zn 0.000 0.500 0.841
Zn 0.000 0.000 0.683

**SG**: Pmmm (47)

=====

Going through the records in order, we get E values of -1.39, -1.38 eV/atom.
Going through the records in order, we get magnetic moment values of 0.00, 0.00 μB per atom.